1.
Crystalline Ce5PrS6 at its relaxed geometry. Source: Alexandria via LeMat-Bulk, functional GGA-PBE.

E, eV per atom: -6.975
Space group: No. 12
Crystal system: monoclinic

Cell: 6.990 6.990 6.993 Å, 99.60 99.60 120.00°
Positions (direct):
Ce 0.000 0.000 0.000
Ce 0.167 0.833 0.500
Ce 0.335 0.665 0.000
Ce 0.665 0.335 0.000
Ce 0.833 0.167 0.500
Pr 0.500 0.500 0.500
S 0.079 0.416 0.248
S 0.247 0.247 0.751
S 0.416 0.079 0.248
S 0.584 0.921 0.752
S 0.753 0.753 0.249
S 0.921 0.584 0.752



2.
Crystalline Ac3TlSe4O12 at its relaxed geometry. Source: Alexandria via LeMat-Bulk, functional GGA-PBE.

E, eV per atom: -5.888
Space group: No. 155
Crystal system: trigonal

Cell: 8.061 8.061 8.061 Å, 106.23 106.23 106.23°
Positions (direct):
Ac 0.000 0.558 0.442
Ac 0.442 0.000 0.558
Ac 0.558 0.442 0.000
Tl 0.000 0.000 0.000
Se 0.057 0.500 0.943
Se 0.500 0.500 0.500
Se 0.500 0.943 0.057
Se 0.943 0.057 0.500
O 0.070 0.621 0.797
O 0.121 0.879 0.500
O 0.203 0.379 0.930
O 0.353 0.647 0.500
O 0.379 0.930 0.203
O 0.500 0.121 0.879
O 0.500 0.353 0.647
O 0.621 0.797 0.070
O 0.647 0.500 0.353
O 0.797 0.070 0.621
O 0.879 0.500 0.121
O 0.930 0.203 0.379